## CsNiAs (PBE)

Data for CsNiAs after structural relaxation.

Cell lengths 4.1674, 4.1674, 11.7550 Å; angles 90.00, 90.00, 90.00 degrees
Space group P4/nmm (No. 129, origin choice 2)
Symmetry-distinct sites (fractional):
1 Cs 0.2500 0.2500 0.2272 [2 per cell]
2 Ni 0.2500 0.7500 0.5000 [2 per cell]
3 As 0.2500 0.2500 0.5945 [2 per cell]

Output
As for the crystal system: tetragonal. The energy of formation from the pure elements comes out at -1.0 eV/f.u.

---

## DySnRh (PBE)

Data for DySnRh after structural relaxation.

Cell lengths 4.6649, 4.6649, 3.4293 Å; angles 90.00, 90.00, 120.00 degrees
Space group P-6m2 (No. 187)
Symmetry-distinct sites (fractional):
1 Dy 0.0000 0.0000 0.0000 [1 per cell]
2 Sn 0.6667 0.3333 0.5000 [1 per cell]
3 Rh 0.3333 0.6667 0.5000 [1 per cell]

Output
As for the crystal system: hexagonal. The energy of formation from the pure elements comes out at -2.3 eV/f.u.

---

## Re2BiSbS (PBE)

Data for Re2BiSbS after structural relaxation.

Cell lengths 5.1395, 5.1395, 5.9364 Å; angles 90.00, 90.00, 90.00 degrees
Space group P4/mmm (No. 123)
Symmetry-distinct sites (fractional):
1 Re 0.0000 0.5000 0.0000 [2 per cell]
2 Bi 0.0000 0.0000 0.0000 [1 per cell]
3 Sb 0.0000 0.0000 0.5000 [1 per cell]
4 S 0.5000 0.5000 0.5000 [1 per cell]

Output
As for the crystal system: tetragonal. The formation energy (no corrections) is 13.8 eV per formula unit.

---

## Y2SnHg2 (PBE)

Data for Y2SnHg2 after structural relaxation.

Cell lengths 7.6307, 7.6307, 4.4828 Å; angles 90.00, 90.00, 90.00 degrees
Space group P4/mbm (No. 127)
Symmetry-distinct sites (fractional):
1 Y 0.1697 0.3303 0.0000 [4 per cell]
2 Sn 0.0000 0.0000 0.5000 [2 per cell]
3 Hg 0.1319 0.6319 0.5000 [4 per cell]

Output
As for the crystal system: tetragonal. The energy of formation from the pure elements comes out at -2.4 eV/f.u.

---

## TbTmMn (PBE)

Data for TbTmMn after structural relaxation.

Cell lengths 3.4608, 3.4608, 12.5870 Å; angles 90.00, 90.00, 90.00 degrees
Space group I4mm (No. 107)
Symmetry-distinct sites (fractional):
1 Tb 0.0000 0.0000 0.0000 [2 per cell]
2 Tm 0.0000 0.0000 0.2737 [2 per cell]
3 Mn 0.0000 0.0000 0.6398 [2 per cell]

Output
As for the crystal system: tetragonal. The energy of formation from the pure elements comes out at 0.4 eV/f.u.

---

## CsAl2InF8 (PBE)

Data for CsAl2InF8 after structural relaxation.

Cell lengths 5.9836, 5.9836, 23.8971 Å; angles 90.00, 90.00, 120.00 degrees
Space group R-3 (No. 148, hexagonal axes)
Symmetry-distinct sites (fractional):
1 Cs 0.0000 0.0000 0.0000 [3 per cell]
2 Al 0.0000 0.0000 0.2532 [6 per cell]
3 In 0.0000 0.0000 0.5000 [3 per cell]
4 F 0.0000 0.0000 0.3244 [6 per cell]
5 F 0.0358 0.7494 0.7690 [18 per cell]

Output
As for the crystal system: trigonal. The formation energy (no corrections) is -37.1 eV per formula unit.

---

## BiAsIO2 (PBE)

Data for BiAsIO2 after structural relaxation.

Cell lengths 4.3108, 4.3108, 5.4500 Å; angles 90.00, 90.00, 90.00 degrees
Space group P4/mmm (No. 123)
Symmetry-distinct sites (fractional):
1 Bi 0.0000 0.0000 0.0000 [1 per cell]
2 As 0.5000 0.5000 0.5000 [1 per cell]
3 I 0.5000 0.5000 0.0000 [1 per cell]
4 O 0.0000 0.5000 0.5000 [2 per cell]

Output
As for the crystal system: tetragonal. The formation energy (no corrections) is 0.6 eV per formula unit.

---

## U2Co2P3 (PBE)

Data for U2Co2P3 after structural relaxation.

Cell lengths 3.9092, 16.6265, 6.5668 Å; angles 90.00, 90.00, 90.00 degrees
Space group Cmcm (No. 63)
Symmetry-distinct sites (fractional):
1 U 0.0000 0.0487 0.2500 [4 per cell]
2 U 0.0000 0.1495 0.7500 [4 per cell]
3 Co 0.0000 0.2988 0.5506 [8 per cell]
4 P 0.0000 0.2194 0.2500 [4 per cell]
5 P 0.0000 0.4308 0.0374 [8 per cell]

Output
As for the crystal system: orthorhombic. The energy of formation from the pure elements comes out at -5.3 eV/f.u.

---

## Al2TlRu (PBE)

Data for Al2TlRu after structural relaxation.

Cell lengths 4.1244, 4.1244, 17.9121 Å; angles 90.00, 90.00, 90.00 degrees
Space group I-42d (No. 122)
Symmetry-distinct sites (fractional):
1 Al 0.2020 0.2500 0.1250 [8 per cell]
2 Tl 0.0000 0.0000 0.5000 [4 per cell]
3 Ru 0.0000 0.0000 0.0000 [4 per cell]

Output
As for the crystal system: tetragonal. The energy of formation from the pure elements comes out at 1.4 eV/f.u.

---

## MnAs3H (PBE)

Data for MnAs3H after structural relaxation.

Cell lengths 4.1268, 4.1268, 4.1268 Å; angles 90.00, 90.00, 90.00 degrees
Space group Pm-3m (No. 221)
Symmetry-distinct sites (fractional):
1 Mn 0.0000 0.0000 0.0000 [1 per cell]
2 As 0.0000 0.5000 0.5000 [3 per cell]
3 H 0.5000 0.5000 0.5000 [1 per cell]

Output
Its uncorrected energy is -22.20 eV for the cell shown. As for the crystal system: cubic.

---

D(E_F) in states/eV/f.u., matching the order above: 2.705, 2.156, 4.899, 2.805, 4.181, 0.000, 1.596, 9.719, 3.212, 7.776
Calculated density in g cm⁻³, matching the order above: 4.34, 9.87, 7.79, 8.88, 8.43, 3.05, 7.26, 10.69, 7.84, 6.63